# 1
This record from Alexandria describes ScZnRe2 at its PBEsol-relaxed geometry. The functional is SCAN.

Summary:
VASP energy   -1.5571 hartree per atom
Crystal system   orthorhombic
ΔH_f (0 K)   0.47 eV/f.u.

Unit cell a=2.727 b=2.727 c=8.909 alpha=90.00 beta=90.00 gamma=109.50
Fractional coordinates of all 4 atoms:
Sc 0.000 0.000 0.000
Zn 0.500 0.500 0.733
Re 0.000 0.000 0.488
Re 0.500 0.500 0.254

---

# 2
This record from Alexandria describes Sc2ZnRe at its PBEsol-relaxed geometry. The functional is SCAN.

Summary:
VASP energy   -1.0355 hartree per atom
Crystal system   monoclinic
ΔH_f (0 K)   0.37 eV/f.u.

Unit cell a=4.730 b=4.730 c=5.478 alpha=96.18 beta=96.18 gamma=34.69
Fractional coordinates of all 4 atoms:
Sc 0.249 0.249 0.257
Sc 0.751 0.751 0.743
Zn 0.500 0.500 0.000
Re 0.000 0.000 0.500

---

# 3
This record from Alexandria describes Sc2ZnRe at its PBEsol-relaxed geometry. The functional is SCAN.

Summary:
VASP energy   -1.0393 hartree per atom
Crystal system   tetragonal
ΔH_f (0 K)   -0.03 eV/f.u.

Unit cell a=3.314 b=3.314 c=6.715 alpha=90.00 beta=90.00 gamma=90.00
Fractional coordinates of all 4 atoms:
Sc 0.000 0.000 0.000
Sc 0.500 0.500 0.371
Zn 0.000 0.000 0.589
Re 0.500 0.500 0.765

---

# 4
This record from Alexandria describes ScZnRe2 at its PBEsol-relaxed geometry. The functional is SCAN.

Summary:
VASP energy   -1.5611 hartree per atom
Crystal system   monoclinic
ΔH_f (0 K)   0.03 eV/f.u.

Unit cell a=5.163 b=5.163 c=4.437 alpha=115.31 beta=115.31 gamma=36.39
Fractional coordinates of all 4 atoms:
Sc 0.000 0.000 0.000
Zn 0.771 0.771 0.272
Re 0.237 0.237 0.738
Re 0.521 0.521 0.521